Below is a geometry-optimized YSc2Rh structure, with properties calculated at the PBE level.

The space group is P4/mmm (No. 123) and the conventional cell measures 3.308, 3.308 and 8.226 Å, with angles of 90.00, 90.00 and 90.00 degrees. The asymmetric unit holds Y at (0.000, 0.000, 0.000), Sc at (0.500, 0.500, 0.312) and Rh at (0.000, 0.000, 0.500).

Its energy above the most stable polymorph in this dataset is 0.0698 eV/atom. Its total energy is -7.07 eV/atom. The formation energy is -0.45 eV/atom. Its density of states at the Fermi level is 1.2722 states/eV/atom.